[1]
# DyY2Se3 | the Open Quantum Materials Database | PBE | optimized geometry
# - Magnetization: 0.00 μB per atom
# - Crystal system: trigonal
data_DyY2Se3
_chemical_formula_sum 'Dy1 Y2 Se3'
_symmetry_space_group_name_H-M 'P -3 m 1'
_symmetry_Int_Tables_number 164
_symmetry_space_group_name_Hall '-P 3 2"'
_cell_length_a 4.0514
_cell_length_b 4.0514
_cell_length_c 10.0869
_cell_angle_alpha 90.00
_cell_angle_beta 90.00
_cell_angle_gamma 120.00
loop_
_atom_site_label
_atom_site_type_symbol
_atom_site_fract_x
_atom_site_fract_y
_atom_site_fract_z
_atom_site_occupancy
Dy1 Dy 0.0000 0.0000 0.0000 1
Y1 Y 0.3333 0.6667 0.6667 1
Se1 Se 0.0000 0.0000 0.5000 1
Se2 Se 0.3333 0.6667 0.1663 1


[2]
# ZrZnFeBi | the Open Quantum Materials Database | PBE | optimized geometry
# - Energy relative to the lowest polymorph listed for this composition: 0.0965 eV per atom
# - Magnetization: 0.36 μB per atom
# - Crystal system: cubic
data_ZrZnFeBi
_chemical_formula_sum 'Zr4 Zn4 Fe4 Bi4'
_symmetry_space_group_name_H-M 'F -4 3 m'
_symmetry_Int_Tables_number 216
_symmetry_space_group_name_Hall 'F -4 2 3'
_cell_length_a 6.7237
_cell_length_b 6.7237
_cell_length_c 6.7237
_cell_angle_alpha 90.00
_cell_angle_beta 90.00
_cell_angle_gamma 90.00
loop_
_atom_site_label
_atom_site_type_symbol
_atom_site_fract_x
_atom_site_fract_y
_atom_site_fract_z
_atom_site_occupancy
Zr1 Zr 0.0000 0.0000 0.0000 1
Zn1 Zn 0.2500 0.2500 0.7500 1
Fe1 Fe 0.0000 0.0000 0.5000 1
Bi1 Bi 0.2500 0.2500 0.2500 1


[3]
# TaRe3 | the Open Quantum Materials Database | PBE | optimized geometry
# - Formation energy from the elements: 0.34 eV/atom
# - Magnetization: 0.00 μB per atom
# - Crystal system: hexagonal
data_TaRe3
_chemical_formula_sum 'Ta6 Re18'
_symmetry_space_group_name_H-M 'P 63/m m c'
_symmetry_Int_Tables_number 194
_symmetry_space_group_name_Hall '-P 6c 2c'
_cell_length_a 5.1636
_cell_length_b 5.1636
_cell_length_c 16.7795
_cell_angle_alpha 90.00
_cell_angle_beta 90.00
_cell_angle_gamma 120.00
loop_
_atom_site_label
_atom_site_type_symbol
_atom_site_fract_x
_atom_site_fract_y
_atom_site_fract_z
_atom_site_occupancy
Ta1 Ta 0.0000 0.5000 0.0000 1
Re1 Re 0.0000 0.0000 0.0980 1
Re2 Re 0.1595 0.3190 0.2500 1
Re3 Re 0.3333 0.6667 0.1298 1
Re4 Re 0.3333 0.6667 0.6640 1


[4]
# Zr3Al3CuAu2 | the Open Quantum Materials Database | PBE | optimized geometry
# - Magnetization: 0.00 μB per atom
# - Crystal system: hexagonal
data_Zr3Al3CuAu2
_chemical_formula_sum 'Zr3 Al3 Cu1 Au2'
_symmetry_space_group_name_H-M 'P -6 2 m'
_symmetry_Int_Tables_number 189
_symmetry_space_group_name_Hall 'P -6 -2'
_cell_length_a 6.8480
_cell_length_b 6.8480
_cell_length_c 4.0399
_cell_angle_alpha 90.00
_cell_angle_beta 90.00
_cell_angle_gamma 120.00
loop_
_atom_site_label
_atom_site_type_symbol
_atom_site_fract_x
_atom_site_fract_y
_atom_site_fract_z
_atom_site_occupancy
Zr1 Zr 0.0000 0.4040 0.0000 1
Al1 Al 0.0000 0.7602 0.5000 1
Cu1 Cu 0.0000 0.0000 0.0000 1
Au1 Au 0.3333 0.6667 0.5000 1


[5]
# Al2Ag | the Open Quantum Materials Database | PBE | optimized geometry
# - Crystal system: hexagonal
data_Al2Ag
_chemical_formula_sum 'Al6 Ag3'
_symmetry_space_group_name_H-M 'P -6 2 m'
_symmetry_Int_Tables_number 189
_symmetry_space_group_name_Hall 'P -6 -2'
_cell_length_a 7.7845
_cell_length_b 7.7845
_cell_length_c 2.9115
_cell_angle_alpha 90.00
_cell_angle_beta 90.00
_cell_angle_gamma 120.00
loop_
_atom_site_label
_atom_site_type_symbol
_atom_site_fract_x
_atom_site_fract_y
_atom_site_fract_z
_atom_site_occupancy
Al1 Al 0.0000 0.3671 0.0000 1
Al2 Al 0.0000 0.7007 0.5000 1
Ag1 Ag 0.0000 0.0000 0.0000 1
Ag2 Ag 0.3333 0.6667 0.5000 1


[6]
# BaHg2Sb2 | the Open Quantum Materials Database | PBE | optimized geometry
# - Crystal system: tetragonal
data_BaHg2Sb2
_chemical_formula_sum 'Ba2 Hg4 Sb4'
_symmetry_space_group_name_H-M 'P 4/n m m'
_symmetry_Int_Tables_number 129
_cell_length_a 5.4065
_cell_length_b 5.4065
_cell_length_c 10.6892
_cell_angle_alpha 90.00
_cell_angle_beta 90.00
_cell_angle_gamma 90.00
loop_
_symmetry_equiv_pos_as_xyz
'x,y,z'
'-x,-y,-z'
'-y+1/2,x,z'
'y+1/2,-x,-z'
'-x+1/2,-y+1/2,z'
'x+1/2,y+1/2,-z'
'y,-x+1/2,z'
'-y,x+1/2,-z'
'x+1/2,-y,-z'
'-x+1/2,y,z'
'-y,-x,-z'
'y,x,z'
'-x,y+1/2,-z'
'x,-y+1/2,z'
'y+1/2,x+1/2,-z'
'-y+1/2,-x+1/2,z'
loop_
_atom_site_label
_atom_site_type_symbol
_atom_site_fract_x
_atom_site_fract_y
_atom_site_fract_z
_atom_site_occupancy
Ba1 Ba 0.2500 0.2500 0.2501 1
Hg1 Hg 0.2500 0.2500 0.6156 1
Hg2 Hg 0.2500 0.7500 0.0000 1
Sb1 Sb 0.2500 0.2500 0.8797 1
Sb2 Sb 0.2500 0.7500 0.5000 1


[7]
# Cu5Ag4 | the Open Quantum Materials Database | PBE | optimized geometry
# - Formation energy from the elements: 0.10 eV/atom
# - Energy relative to the lowest polymorph listed for this composition: 0.0620 eV per atom
# - Crystal system: monoclinic
data_Cu5Ag4
_chemical_formula_sum 'Cu10 Ag8'
_symmetry_space_group_name_H-M 'C 1 2/m 1'
_symmetry_Int_Tables_number 12
_symmetry_space_group_name_Hall '-C 2y'
_cell_length_a 14.0577
_cell_length_b 2.7981
_cell_length_c 8.1982
_cell_angle_alpha 90.00
_cell_angle_beta 125.20
_cell_angle_gamma 90.00
loop_
_atom_site_label
_atom_site_type_symbol
_atom_site_fract_x
_atom_site_fract_y
_atom_site_fract_z
_atom_site_occupancy
Cu1 Cu 0.0000 0.0000 0.0000 1
Cu2 Cu 0.1717 0.5000 0.6603 1
Cu3 Cu 0.1750 0.5000 0.3446 1
Ag1 Ag 0.0061 0.0000 0.3371 1
Ag2 Ag 0.1670 0.5000 0.0126 1


[8]
# Tb2Te2O5 | the Open Quantum Materials Database | PBE | optimized geometry
# - Energy relative to the lowest polymorph listed for this composition: 0.0000 eV per atom
# - Magnetization: 0.00 μB per atom
# - Crystal system: tetragonal
data_Tb2Te2O5
_chemical_formula_sum 'Tb2 Te2 O5'
_symmetry_space_group_name_H-M 'P 4/m m m'
_symmetry_Int_Tables_number 123
_symmetry_space_group_name_Hall '-P 4 2'
_cell_length_a 3.9038
_cell_length_b 3.9038
_cell_length_c 9.2407
_cell_angle_alpha 90.00
_cell_angle_beta 90.00
_cell_angle_gamma 90.00
loop_
_atom_site_label
_atom_site_type_symbol
_atom_site_fract_x
_atom_site_fract_y
_atom_site_fract_z
_atom_site_occupancy
Tb1 Tb 0.0000 0.0000 0.2405 1
Te1 Te 0.5000 0.5000 0.0000 1
Te2 Te 0.5000 0.5000 0.5000 1
O1 O 0.0000 0.0000 0.0000 1
O2 O 0.0000 0.5000 0.3582 1


Let's list E in order: -38.53 -21.09 -47.75 -52.01 -10.18 -12.69 -28.96 -58.19 eV per formula unit.
Let's list V in order: 23.897 18.998 16.144 18.230 16.977 31.245 14.640 15.647 Å³ per atom.